No. 1
Material: MnRu2Br
Method: DFT, PBE-GGA
State: relaxed

Properties
* ΔE_f (raw): 0.8556 eV per atom
* N(E_F): 32.3 states/eV/cell
* relative energy among the computed polymorphs: 443 meV per atom

CIF file:
```
data_MnRu2Br
_chemical_formula_sum 'Mn4 Ru8 Br4'
_cell_length_a 6.219
_cell_length_b 6.219
_cell_length_c 6.219
_cell_angle_alpha 90.00
_cell_angle_beta 90.00
_cell_angle_gamma 90.00
_space_group_name_H-M_alt 'F m -3 m'
_space_group_IT_number 225
_space_group_name_Hall '-F 4 2 3'
loop_
_atom_site_label
_atom_site_fract_x
_atom_site_fract_y
_atom_site_fract_z
Mn1 0.000 0.000 0.000
Ru1 0.250 0.250 0.250
Br1 0.000 0.000 0.500
```

***

No. 2
Material: CoBi2AsPt
Method: DFT, PBE-GGA
State: relaxed

Properties
* N(E_F): 5.0 states/eV/cell
* energy relative to the elements: 600 meV per atom

CIF file:
```
data_CoBi2AsPt
_chemical_formula_sum 'Co1 Bi2 As1 Pt1'
_cell_length_a 5.043
_cell_length_b 5.043
_cell_length_c 4.698
_cell_angle_alpha 90.00
_cell_angle_beta 90.00
_cell_angle_gamma 90.00
_space_group_name_H-M_alt 'P 4/m m m'
_space_group_IT_number 123
_space_group_name_Hall '-P 4 2'
loop_
_atom_site_label
_atom_site_fract_x
_atom_site_fract_y
_atom_site_fract_z
Co1 0.000 0.000 0.000
Bi1 0.000 0.500 0.000
As1 0.500 0.500 0.500
Pt1 0.000 0.000 0.500
```

***

No. 3
Material: PmGdSnRu
Method: DFT, PBE-GGA
State: relaxed

Properties
* N(E_F): 10.7 states/eV/cell
* energy relative to the elements: -343 meV per atom

CIF file:
```
data_PmGdSnRu
_chemical_formula_sum 'Pm4 Gd4 Sn4 Ru4'
_cell_length_a 7.301
_cell_length_b 7.301
_cell_length_c 7.301
_cell_angle_alpha 90.00
_cell_angle_beta 90.00
_cell_angle_gamma 90.00
_space_group_name_H-M_alt 'F -4 3 m'
_space_group_IT_number 216
_space_group_name_Hall 'F -4 2 3'
loop_
_atom_site_label
_atom_site_fract_x
_atom_site_fract_y
_atom_site_fract_z
Pm1 0.000 0.000 0.000
Gd1 0.000 0.000 0.500
Sn1 0.250 0.250 0.250
Ru1 0.250 0.250 0.750
```

***

No. 4
Material: Ho2Ge2O5
Method: DFT, PBE-GGA
State: relaxed

Properties
* ΔE_f (raw): -1.8972 eV per atom
* N(E_F): 2.4 states/eV/cell

CIF file:
```
data_Ho2Ge2O5
_chemical_formula_sum 'Ho2 Ge2 O5'
_cell_length_a 4.099
_cell_length_b 4.099
_cell_length_c 6.664
_cell_angle_alpha 90.00
_cell_angle_beta 90.00
_cell_angle_gamma 90.00
_space_group_name_H-M_alt 'P 4/m m m'
_space_group_IT_number 123
_space_group_name_Hall '-P 4 2'
loop_
_atom_site_label
_atom_site_fract_x
_atom_site_fract_y
_atom_site_fract_z
Ho1 0.000 0.000 0.000
Ho2 0.000 0.000 0.500
Ge1 0.500 0.500 0.215
O1 0.000 0.500 0.232
O2 0.500 0.500 0.500
```

***

No. 5
Material: TbPPd2
Method: DFT, PBE-GGA
State: relaxed

Properties
* N(E_F): 10.8 states/eV/cell
* energy relative to the elements: -928 meV per atom

CIF file:
```
data_TbPPd2
_chemical_formula_sum 'Tb4 P4 Pd8'
_cell_length_a 3.921
_cell_length_b 18.433
_cell_length_c 4.087
_cell_angle_alpha 90.00
_cell_angle_beta 90.00
_cell_angle_gamma 90.00
_space_group_name_H-M_alt 'C m c m'
_space_group_IT_number 63
_space_group_name_Hall '-C 2c 2'
loop_
_atom_site_label
_atom_site_fract_x
_atom_site_fract_y
_atom_site_fract_z
Tb1 0.000 0.110 0.250
P1 0.000 0.329 0.250
Pd1 0.000 0.247 0.750
Pd2 0.000 0.454 0.250
```

***

No. 6
Material: MnCo2H3
Method: DFT, PBE-GGA
State: relaxed

Properties
* N(E_F): 5.5 states/eV/cell
* relative energy among the computed polymorphs: 60 meV per atom

CIF file:
```
data_MnCo2H3
_chemical_formula_sum 'Mn2 Co4 H6'
_cell_length_a 4.2434
_cell_length_b 4.2434
_cell_length_c 5.2549
_cell_angle_alpha 90.00
_cell_angle_beta 90.00
_cell_angle_gamma 120.00
_space_group_name_H-M_alt 'P 63/m c m'
_space_group_IT_number 193
_space_group_name_Hall '-P 6c 2'
loop_
_atom_site_label
_atom_site_fract_x
_atom_site_fract_y
_atom_site_fract_z
Mn1 0.0000 0.0000 0.2500
Co1 0.3333 0.6667 0.0000
H1 0.0000 0.4978 0.2500
```

***

No. 7
Material: Pm7YSc4
Method: DFT, PBE-GGA
State: relaxed

Properties
* N(E_F): 16.5 states/eV/cell
* energy relative to the elements: 35 meV per atom

CIF file:
```
data_Pm7YSc4
_chemical_formula_sum 'Pm7 Y1 Sc4'
_cell_length_a 6.148
_cell_length_b 7.095
_cell_length_c 8.704
_cell_angle_alpha 90.00
_cell_angle_beta 103.65
_cell_angle_gamma 90.04
_space_group_name_H-M_alt 'P -1'
_space_group_IT_number 2
loop_
_space_group_symop_operation_xyz
'x,y,z'
'-x,-y,-z'
loop_
_atom_site_label
_atom_site_fract_x
_atom_site_fract_y
_atom_site_fract_z
Pm1 0.000 0.000 0.000
Pm2 0.224 0.499 0.664
Pm3 0.288 0.756 0.341
Pm4 0.497 0.242 0.009
Y1 0.000 0.500 0.000
Sc1 0.213 0.001 0.659
Sc2 0.271 0.241 0.337
```

***

No. 8
Material: ZnFe2Co
Method: DFT, PBE-GGA
State: relaxed

Properties
* N(E_F): 7.5 states/eV/cell
* energy relative to the elements: 26 meV per atom

CIF file:
```
data_ZnFe2Co
_chemical_formula_sum 'Zn2 Fe4 Co2'
_cell_length_a 9.095
_cell_length_b 2.875
_cell_length_c 4.060
_cell_angle_alpha 90.00
_cell_angle_beta 116.13
_cell_angle_gamma 90.00
_space_group_name_H-M_alt 'C 1 2/m 1'
_space_group_IT_number 12
loop_
_space_group_symop_operation_xyz
'x,y,z'
'-x,-y,-z'
'-x,y,-z'
'x,-y,z'
'x+1/2,y+1/2,z'
'-x+1/2,-y+1/2,-z'
'-x+1/2,y+1/2,-z'
'x+1/2,-y+1/2,z'
loop_
_atom_site_label
_atom_site_fract_x
_atom_site_fract_y
_atom_site_fract_z
Zn1 0.000 0.000 0.000
Fe1 0.239 0.000 0.740
Co1 0.000 0.500 0.500
```

***

No. 9
Material: Pr4GeSb2Te
Method: DFT, PBE-GGA
State: relaxed

Properties
* ΔE_f (raw): -1.1873 eV per atom
* N(E_F): 1.3 states/eV/cell

CIF file:
```
data_Pr4GeSb2Te
_chemical_formula_sum 'Pr4 Ge1 Sb2 Te1'
_cell_length_a 7.791
_cell_length_b 4.487
_cell_length_c 7.820
_cell_angle_alpha 90.00
_cell_angle_beta 109.21
_cell_angle_gamma 90.00
_space_group_name_H-M_alt 'P 1 2/m 1'
_space_group_IT_number 10
loop_
_space_group_symop_operation_xyz
'x,y,z'
'-x,-y,-z'
'-x,y,-z'
'x,-y,z'
loop_
_atom_site_label
_atom_site_fract_x
_atom_site_fract_y
_atom_site_fract_z
Pr1 0.241 0.000 0.238
Pr2 0.248 0.500 0.762
Ge1 0.000 0.500 0.000
Sb1 0.500 0.000 0.000
Sb2 0.500 0.500 0.500
Te1 0.000 0.000 0.500
```

***

No. 10
Material: Pm2PdRh
Method: DFT, PBE-GGA
State: relaxed

Properties
* N(E_F): 5.3 states/eV/cell
* relative energy among the computed polymorphs: 0 meV per atom
* energy relative to the elements: -787 meV per atom

CIF file:
```
data_Pm2PdRh
_chemical_formula_sum 'Pm4 Pd2 Rh2'
_cell_length_a 5.771
_cell_length_b 4.468
_cell_length_c 7.698
_cell_angle_alpha 90.00
_cell_angle_beta 109.74
_cell_angle_gamma 90.00
_space_group_name_H-M_alt 'P 1 21/m 1'
_space_group_IT_number 11
loop_
_space_group_symop_operation_xyz
'x,y,z'
'-x,-y,-z'
'-x,y+1/2,-z'
'x,-y+1/2,z'
loop_
_atom_site_label
_atom_site_fract_x
_atom_site_fract_y
_atom_site_fract_z
Pm1 0.220 0.250 0.435
Pm2 0.228 0.250 0.927
Pd1 0.327 0.750 0.207
Rh1 0.324 0.750 0.709
```

***

No. 11
Material: Zn2Co2Ir
Method: DFT, PBE-GGA
State: relaxed

Properties
* N(E_F): 10.8 states/eV/cell
* relative energy among the computed polymorphs: 21 meV per atom
* energy relative to the elements: 201 meV per atom

CIF file:
```
data_Zn2Co2Ir
_chemical_formula_sum 'Zn4 Co4 Ir2'
_cell_length_a 6.653
_cell_length_b 6.653
_cell_length_c 2.942
_cell_angle_alpha 90.00
_cell_angle_beta 90.00
_cell_angle_gamma 90.00
_space_group_name_H-M_alt 'P 4/m b m'
_space_group_IT_number 127
_space_group_name_Hall '-P 4 2ab'
loop_
_atom_site_label
_atom_site_fract_x
_atom_site_fract_y
_atom_site_fract_z
Zn1 0.177 0.323 0.000
Co1 0.120 0.620 0.500
Ir1 0.000 0.000 0.500
```

***

No. 12
Material: YNiRh3
Method: DFT, PBE-GGA
State: relaxed

Properties
* N(E_F): 11.4 states/eV/cell
* relative energy among the computed polymorphs: 0 meV per atom
* energy relative to the elements: 240 meV per atom

CIF file:
```
data_YNiRh3
_chemical_formula_sum 'Y1 Ni1 Rh3'
_cell_length_a 4.533
_cell_length_b 4.533
_cell_length_c 4.533
_cell_angle_alpha 90.00
_cell_angle_beta 90.00
_cell_angle_gamma 90.00
_space_group_name_H-M_alt 'P m -3 m'
_space_group_IT_number 221
_space_group_name_Hall '-P 4 2 3'
loop_
_atom_site_label
_atom_site_fract_x
_atom_site_fract_y
_atom_site_fract_z
Y1 0.000 0.000 0.000
Ni1 0.500 0.500 0.500
Rh1 0.000 0.500 0.500
```

***

- What is the N(E_F) in the first record?
  32.3 states/eV/cell